1.
A relaxed GaCo2PdI crystal, computed with PBE-GGA.

SG = No. 123
VASP energy = -18.86 eV/cell
E_form (uncorrected) = 1.023 eV per atom
V = 123.0 Å³ per cell

a = 4.771 Å, b = 4.771 Å, c = 5.404 Å
α = 90.00°, β = 90.00°, γ = 90.00°
Fractional positions:
Ga 0.000 0.000 0.000
Co 0.000 0.500 0.500
Co 0.500 0.000 0.500
Pd 0.500 0.500 0.500
I 0.500 0.500 0.000


2.
A relaxed Pm8Ga3CoI4 crystal, computed with PBE-GGA.

SG = No. 12
VASP energy = -71.40 eV/cell
E_form (uncorrected) = -0.688 eV per atom
V = 490.1 Å³ per cell

a = 8.607 Å, b = 8.607 Å, c = 9.256 Å
α = 118.56°, β = 118.56°, γ = 58.75°
Fractional positions:
Pm 0.217 0.757 0.691
Pm 0.228 0.228 0.705
Pm 0.243 0.783 0.309
Pm 0.262 0.262 0.283
Pm 0.738 0.738 0.717
Pm 0.757 0.217 0.691
Pm 0.772 0.772 0.295
Pm 0.783 0.243 0.309
Ga 0.000 0.500 0.500
Ga 0.500 0.000 0.500
Ga 0.500 0.500 0.500
Co 0.000 0.000 0.500
I 0.000 0.000 0.000
I 0.000 0.500 0.000
I 0.500 0.000 0.000
I 0.500 0.500 0.000


3.
A relaxed Pr8Ga3CoI4 crystal, computed with PBE-GGA.

SG = No. 12
VASP energy = -71.74 eV/cell
E_form (uncorrected) = -0.695 eV per atom
V = 511.9 Å³ per cell

a = 8.761 Å, b = 8.761 Å, c = 9.415 Å
α = 118.89°, β = 118.89°, γ = 58.24°
Fractional positions:
Pr 0.217 0.758 0.691
Pr 0.232 0.232 0.709
Pr 0.242 0.783 0.309
Pr 0.261 0.261 0.281
Pr 0.739 0.739 0.719
Pr 0.758 0.217 0.691
Pr 0.768 0.768 0.291
Pr 0.783 0.242 0.309
Ga 0.000 0.500 0.500
Ga 0.500 0.000 0.500
Ga 0.500 0.500 0.500
Co 0.000 0.000 0.500
I 0.000 0.000 0.000
I 0.000 0.500 0.000
I 0.500 0.000 0.000
I 0.500 0.500 0.000


4.
A relaxed Pr4GaCoI2 crystal, computed with PBE-GGA.

SG = No. 10
VASP energy = -37.48 eV/cell
E_form (uncorrected) = -0.642 eV per atom
V = 254.7 Å³ per cell

a = 7.598 Å, b = 4.163 Å, c = 8.405 Å
α = 90.00°, β = 106.66°, γ = 90.00°
Fractional positions:
Pr 0.221 0.000 0.189
Pr 0.233 0.500 0.810
Pr 0.767 0.500 0.190
Pr 0.779 0.000 0.811
Ga 0.500 0.000 0.000
Co 0.000 0.500 0.000
I 0.000 0.000 0.500
I 0.500 0.500 0.500


5.
A relaxed GaCoSbI2 crystal, computed with PBE-GGA.

distance to the lowest polymorph of the same formula = 671 meV/atom
SG = No. 123
VASP energy = -12.80 eV/cell
E_form (uncorrected) = 0.911 eV per atom
V = 170.3 Å³ per cell

a = 5.589 Å, b = 5.589 Å, c = 5.451 Å
α = 90.00°, β = 90.00°, γ = 90.00°
Fractional positions:
Ga 0.000 0.000 0.000
Co 0.500 0.500 0.500
Sb 0.000 0.000 0.500
I 0.000 0.500 0.000
I 0.500 0.000 0.000


6.
A relaxed GaCoSbI2 crystal, computed with PBE-GGA.

distance to the lowest polymorph of the same formula = 0 meV/atom
SG = No. 123
VASP energy = -16.15 eV/cell
E_form (uncorrected) = 0.240 eV per atom
V = 148.4 Å³ per cell

a = 5.601 Å, b = 5.601 Å, c = 4.730 Å
α = 90.00°, β = 90.00°, γ = 90.00°
Fractional positions:
Ga 0.000 0.000 0.000
Co 0.500 0.500 0.500
Sb 0.500 0.500 0.000
I 0.000 0.500 0.500
I 0.500 0.000 0.500


7.
A relaxed GaCoSb2I crystal, computed with PBE-GGA.

distance to the lowest polymorph of the same formula = 0 meV/atom
SG = No. 123
VASP energy = -18.29 eV/cell
E_form (uncorrected) = 0.328 eV per atom
V = 140.7 Å³ per cell

a = 4.868 Å, b = 4.868 Å, c = 5.937 Å
α = 90.00°, β = 90.00°, γ = 90.00°
Fractional positions:
Ga 0.000 0.000 0.000
Co 0.500 0.500 0.500
Sb 0.000 0.500 0.500
Sb 0.500 0.000 0.500
I 0.500 0.500 0.000


8.
A relaxed GaCoSiI2 crystal, computed with PBE-GGA.

SG = No. 123
VASP energy = -16.43 eV/cell
E_form (uncorrected) = 0.445 eV per atom
V = 154.7 Å³ per cell

a = 5.896 Å, b = 5.896 Å, c = 4.448 Å
α = 90.00°, β = 90.00°, γ = 90.00°
Fractional positions:
Ga 0.000 0.000 0.000
Co 0.500 0.500 0.000
Si 0.500 0.500 0.500
I 0.000 0.500 0.500
I 0.500 0.000 0.500


9.
A relaxed Sm4GaCoI2 crystal, computed with PBE-GGA.

SG = No. 10
VASP energy = -37.21 eV/cell
E_form (uncorrected) = -0.637 eV per atom
V = 240.6 Å³ per cell

a = 7.466 Å, b = 4.072 Å, c = 8.268 Å
α = 90.00°, β = 106.85°, γ = 90.00°
Fractional positions:
Sm 0.218 0.000 0.186
Sm 0.233 0.500 0.811
Sm 0.767 0.500 0.189
Sm 0.782 0.000 0.814
Ga 0.500 0.000 0.000
Co 0.000 0.500 0.000
I 0.000 0.000 0.500
I 0.500 0.500 0.500


10.
A relaxed GaCoTeI2 crystal, computed with PBE-GGA.

distance to the lowest polymorph of the same formula = 0 meV/atom
SG = No. 123
VASP energy = -15.51 eV/cell
E_form (uncorrected) = 0.174 eV per atom
V = 150.5 Å³ per cell

a = 5.547 Å, b = 5.547 Å, c = 4.891 Å
α = 90.00°, β = 90.00°, γ = 90.00°
Fractional positions:
Ga 0.000 0.000 0.000
Co 0.500 0.500 0.500
Te 0.500 0.500 0.000
I 0.000 0.500 0.500
I 0.500 0.000 0.500


11.
A relaxed GaCoTeI2 crystal, computed with PBE-GGA.

distance to the lowest polymorph of the same formula = 589 meV/atom
SG = No. 123
VASP energy = -12.56 eV/cell
E_form (uncorrected) = 0.763 eV per atom
V = 170.9 Å³ per cell

a = 5.562 Å, b = 5.562 Å, c = 5.525 Å
α = 90.00°, β = 90.00°, γ = 90.00°
Fractional positions:
Ga 0.000 0.000 0.000
Co 0.500 0.500 0.500
Te 0.000 0.000 0.500
I 0.000 0.500 0.000
I 0.500 0.000 0.000


12.
A relaxed InGa2Co2 crystal, computed with PBE-GGA.

distance to the lowest polymorph of the same formula = 0 meV/atom
SG = No. 127
ΔE_f = -0.07 eV per atom
VASP energy = -46.72 eV/cell
V = 144.2 Å³ per cell

a = 6.987 Å, b = 6.987 Å, c = 2.954 Å
α = 90.00°, β = 90.00°, γ = 90.00°
Fractional positions:
In 0.000 0.000 0.000
In 0.500 0.500 0.000
Ga 0.144 0.356 0.500
Ga 0.356 0.856 0.500
Ga 0.644 0.144 0.500
Ga 0.856 0.644 0.500
Co 0.149 0.649 0.000
Co 0.351 0.149 0.000
Co 0.649 0.851 0.000
Co 0.851 0.351 0.000


13.
A relaxed InGaCo2 crystal, computed with PBE-GGA.

SG = No. 123
ΔE_f = 0.00 eV per atom
VASP energy = -19.97 eV/cell
V = 54.7 Å³ per cell

a = 4.223 Å, b = 4.223 Å, c = 3.065 Å
α = 90.00°, β = 90.00°, γ = 90.00°
Fractional positions:
In 0.000 0.000 0.000
Ga 0.500 0.500 0.000
Co 0.000 0.500 0.500
Co 0.500 0.000 0.500


14.
A relaxed InGa2Co2 crystal, computed with PBE-GGA.

distance to the lowest polymorph of the same formula = 41 meV/atom
SG = No. 127
ΔE_f = -0.03 eV per atom
VASP energy = -46.31 eV/cell
V = 142.2 Å³ per cell

a = 7.133 Å, b = 7.133 Å, c = 2.795 Å
α = 90.00°, β = 90.00°, γ = 90.00°
Fractional positions:
In 0.000 0.000 0.000
In 0.500 0.500 0.000
Ga 0.130 0.370 0.000
Ga 0.370 0.870 0.000
Ga 0.630 0.130 0.000
Ga 0.870 0.630 0.000
Co 0.165 0.665 0.500
Co 0.335 0.165 0.500
Co 0.665 0.835 0.500
Co 0.835 0.335 0.500


15.
A relaxed InGaCo3 crystal, computed with PBE-GGA.

distance to the lowest polymorph of the same formula = 741 meV/atom
SG = No. 221
ΔE_f = 1.48 eV per atom
VASP energy = -19.68 eV/cell
V = 104.5 Å³ per cell

a = 4.710 Å, b = 4.710 Å, c = 4.710 Å
α = 90.00°, β = 90.00°, γ = 90.00°
Fractional positions:
In 0.000 0.000 0.000
Ga 0.500 0.500 0.500
Co 0.000 0.000 0.500
Co 0.000 0.500 0.000
Co 0.500 0.000 0.000


16.
A relaxed InGaCo crystal, computed with PBE-GGA.

SG = No. 12
ΔE_f = -0.05 eV per atom
VASP energy = -26.05 eV/cell
V = 99.3 Å³ per cell

a = 3.077 Å, b = 3.077 Å, c = 10.713 Å
α = 98.24°, β = 98.24°, γ = 90.03°
Fractional positions:
In 0.069 0.069 0.139
In 0.931 0.931 0.861
Ga 0.210 0.210 0.420
Ga 0.790 0.790 0.580
Co 0.346 0.346 0.691
Co 0.654 0.654 0.309


17.
A relaxed InGaCo2 crystal, computed with PBE-GGA.

SG = No. 123
ΔE_f = -0.06 eV per atom
VASP energy = -20.21 eV/cell
V = 54.4 Å³ per cell

a = 2.922 Å, b = 2.922 Å, c = 6.369 Å
α = 90.00°, β = 90.00°, γ = 90.00°
Fractional positions:
In 0.000 0.000 0.000
Ga 0.000 0.000 0.500
Co 0.500 0.500 0.281
Co 0.500 0.500 0.719


18.
A relaxed In2Ga2Co crystal, computed with PBE-GGA.

SG = No. 127
ΔE_f = 0.20 eV per atom
VASP energy = -35.31 eV/cell
V = 196.4 Å³ per cell

a = 6.457 Å, b = 6.457 Å, c = 4.711 Å
α = 90.00°, β = 90.00°, γ = 90.00°
Fractional positions:
In 0.173 0.327 0.000
In 0.327 0.827 0.000
In 0.673 0.173 0.000
In 0.827 0.673 0.000
Ga 0.154 0.654 0.500
Ga 0.346 0.154 0.500
Ga 0.654 0.846 0.500
Ga 0.846 0.346 0.500
Co 0.000 0.000 0.500
Co 0.500 0.500 0.500


19.
A relaxed InGaCo3 crystal, computed with PBE-GGA.

distance to the lowest polymorph of the same formula = 0 meV/atom
SG = No. 221
ΔE_f = 0.74 eV per atom
VASP energy = -23.39 eV/cell
V = 82.1 Å³ per cell

a = 4.346 Å, b = 4.346 Å, c = 4.346 Å
α = 90.00°, β = 90.00°, γ = 90.00°
Fractional positions:
In 0.000 0.000 0.000
Ga 0.500 0.500 0.500
Co 0.000 0.500 0.500
Co 0.500 0.000 0.500
Co 0.500 0.500 0.000


20.
A relaxed InGa2Co2 crystal, computed with PBE-GGA.

distance to the lowest polymorph of the same formula = 61 meV/atom
SG = No. 139
ΔE_f = -0.01 eV per atom
VASP energy = -23.05 eV/cell
V = 75.6 Å³ per cell

a = 6.299 Å, b = 6.299 Å, c = 6.299 Å
α = 146.56°, β = 146.56°, γ = 48.02°
Fractional positions:
In 0.000 0.000 0.000
Ga 0.250 0.750 0.500
Ga 0.750 0.250 0.500
Co 0.397 0.397 0.000
Co 0.603 0.603 0.000